The following is a DFT calculation (GGA-PBEsol) of a relaxed CsZnMo3 crystal.

extended XYZ file:
```
5
Lattice="4.800 0.000 0.000 0.000 4.800 0.000 0.000 0.000 4.800" Properties=species:S:1:pos:R:3 pbc="T T T"
Cs 0.000 0.000 0.000
Zn 2.400 2.400 2.400
Mo 0.000 2.400 2.400
Mo 2.400 0.000 2.400
Mo 2.400 2.400 0.000
```

Summary:
For the formation energy from the elements, the calculation gives 227 kJ/mol of atoms. For the mass density, the calculation gives 7.30 g/cm3. The calculation puts the raw total energy at -5.210 eV per atom. As for the space-group type: Pm-3m (221).

The following is a DFT calculation (GGA-PBEsol) of a relaxed CoMo2Ir crystal.

extended XYZ file:
```
4
Lattice="2.695 0.000 0.000 0.000 4.310 0.000 0.000 0.000 4.692" Properties=species:S:1:pos:R:3 pbc="T T T"
Co 0.000 0.000 0.000
Mo 1.347 0.000 2.294
Mo 1.347 2.155 0.665
Ir 0.000 2.155 3.076
```

Summary:
For the formation energy from the elements, the calculation gives -14 kJ/mol of atoms. For the mass density, the calculation gives 13.50 g/cm3. The calculation puts the raw total energy at -10.419 eV per atom. As for the space-group type: Pmm2 (25).

The following is a DFT calculation (GGA-PBEsol) of a relaxed Ba2ZrRuC crystal.

extended XYZ file:
```
5
Lattice="6.088 0.000 0.000 0.000 6.088 0.000 0.000 0.000 3.825" Properties=species:S:1:pos:R:3 pbc="T T T"
Ba 0.000 3.044 0.000
Ba 3.044 0.000 0.000
Zr 0.000 0.000 1.913
Ru 3.044 3.044 0.000
C 3.044 3.044 1.913
```

Summary:
For the formation energy from the elements, the calculation gives 106 kJ/mol of atoms. For the mass density, the calculation gives 5.61 g/cm3. The calculation puts the raw total energy at -5.539 eV per atom. As for the space-group type: P4/mmm (123).

> The highest raw total energy belongs to which entry?

CsZnMo3

> raw total energy of number 3 (Ba2ZrRuC)?

-5.539 eV per atom